# PmIrPb2O6

Crystalline PmIrPb2O6 at its relaxed geometry (PBE-GGA, Alexandria).

Calculated values
The calculation puts the total moment at 1.88 μB per cell. Its symmetry is P2_1/c, No. 14. The formation energy without anion corrections comes out at -1.5209 eV/atom.

a b c (Å): 5.941 5.928 10.257
angles (deg): 90.00 125.20 90.00
Sites, in units of the cell vectors:
1 Pm 0.000 0.000 0.000
2 Pm 0.000 0.500 0.500
3 Ir 0.500 0.000 0.500
4 Ir 0.500 0.500 0.000
5 Pb 0.265 0.032 0.756
6 Pb 0.265 0.468 0.256
7 Pb 0.735 0.532 0.744
8 Pb 0.735 0.968 0.244
9 O 0.182 0.018 0.271
10 O 0.182 0.482 0.771
11 O 0.286 0.693 0.052
12 O 0.286 0.807 0.552
13 O 0.362 0.223 0.043
14 O 0.362 0.277 0.543
15 O 0.638 0.723 0.457
16 O 0.638 0.777 0.957
17 O 0.714 0.193 0.448
18 O 0.714 0.307 0.948
19 O 0.818 0.518 0.229
20 O 0.818 0.982 0.729